[1]
Crystalline Tb3Zn6Ge5 at its relaxed geometry, computed with GGA-PBE.

Calculated values
- SG = Pmmn, No. 59
- D(E_F) (states/eV/cell) = 4.55
- VASP energy (eV/cell) = -100.95
- calculated volume (A^3/atom) = 18.7
- total moment (μB/cell) = 0.0
- formation enthalpy at 0 K (eV/f.u.) = -5.856

Cell lengths 4.1056, 12.3319, 10.3562 Å; angles 90.00, 90.00, 90.00 degrees
Closest atoms and distances in Å follow each position.
Positions (direct):
Tb1 0.2500 0.0808 0.2492  6 Ge 3.00-3.13, 6 Zn 3.09-3.25
Tb2 0.2500 0.4192 0.2492  6 Ge 3.00-3.13, 6 Zn 3.09-3.25
Tb3 0.2500 0.7500 0.2428  6 Ge 3.13-3.25, 10 Zn 3.17-3.49
Tb4 0.7500 0.2500 0.7572  6 Ge 3.13-3.25, 10 Zn 3.17-3.49
Tb5 0.7500 0.5808 0.7508  6 Ge 3.00-3.13, 6 Zn 3.09-3.25
Tb6 0.7500 0.9192 0.7508  6 Ge 3.00-3.13, 6 Zn 3.09-3.25
Zn1 0.2500 0.0844 0.8809  4 Ge 2.47-2.61, 1 Zn 2.56
Zn2 0.2500 0.2500 0.0295  2 Zn 2.56, 4 Ge 2.67
Zn3 0.2500 0.2500 0.4887  4 Ge 2.59-2.74, 4 Zn 2.81
Zn4 0.2500 0.4156 0.8809  4 Ge 2.47-2.61, 1 Zn 2.56
Zn5 0.2500 0.5944 0.5075  4 Ge 2.58-2.67, 2 Zn 2.81
Zn6 0.2500 0.9056 0.5075  4 Ge 2.58-2.67, 2 Zn 2.81
Zn7 0.7500 0.0944 0.4925  4 Ge 2.58-2.67, 2 Zn 2.81
Zn8 0.7500 0.4056 0.4925  4 Ge 2.58-2.67, 2 Zn 2.81
Zn9 0.7500 0.5844 0.1191  4 Ge 2.47-2.61, 1 Zn 2.56
Zn10 0.7500 0.7500 0.5113  4 Ge 2.59-2.74, 4 Zn 2.81
Zn11 0.7500 0.7500 0.9705  2 Zn 2.56, 4 Ge 2.67
Zn12 0.7500 0.9156 0.1191  4 Ge 2.47-2.61, 1 Zn 2.56
Ge1 0.2500 0.0842 0.6426  5 Zn 2.47-2.61
Ge2 0.2500 0.4158 0.6426  5 Zn 2.47-2.61
Ge3 0.2500 0.6119 0.9753  5 Zn 2.56-2.67
Ge4 0.2500 0.7500 0.6867  4 Zn 2.67-2.74
Ge5 0.2500 0.8881 0.9753  5 Zn 2.56-2.67
Ge6 0.7500 0.1119 0.0247  5 Zn 2.56-2.67
Ge7 0.7500 0.2500 0.3133  4 Zn 2.67-2.74
Ge8 0.7500 0.3881 0.0247  5 Zn 2.56-2.67
Ge9 0.7500 0.5842 0.3574  5 Zn 2.47-2.61
Ge10 0.7500 0.9158 0.3574  5 Zn 2.47-2.61



[2]
Crystalline TbZn11Ge at its relaxed geometry, computed with GGA-PBE.

Calculated values
- SG = C2/m, No. 12
- D(E_F) (states/eV/cell) = 4.44
- VASP energy (eV/cell) = -24.79
- calculated volume (A^3/atom) = 16.2
- total moment (μB/cell) = 0.0
- formation enthalpy at 0 K (eV/f.u.) = -1.525

Cell lengths 6.8858, 6.8858, 6.7703 Å; angles 98.36, 98.36, 134.75 degrees
Closest atoms and distances in Å follow each position.
Positions (direct):
Tb1 0.0000 0.0000 0.0000  18 Zn 3.18-3.44, 2 Ge 3.39
Zn1 0.0000 0.5000 0.0000  10 Zn 2.58-2.76
Zn2 0.0037 0.3647 0.3520  6 Zn 2.56-2.84, 1 Ge 2.82
Zn3 0.2974 0.5141 0.7893  7 Zn 2.58-2.84, 1 Ge 2.68
Zn4 0.3647 0.0037 0.3520  6 Zn 2.56-2.84, 1 Ge 2.82
Zn5 0.4859 0.7026 0.2107  7 Zn 2.58-2.84, 1 Ge 2.68
Zn6 0.5000 0.0000 0.0000  10 Zn 2.58-2.76
Zn7 0.5000 0.5000 0.5000  8 Zn 2.59-2.79, 2 Ge 2.65
Zn8 0.5141 0.2974 0.7893  7 Zn 2.58-2.84, 1 Ge 2.68
Zn9 0.6353 0.9963 0.6480  6 Zn 2.56-2.84, 1 Ge 2.82
Zn10 0.7026 0.4859 0.2107  7 Zn 2.58-2.84, 1 Ge 2.68
Zn11 0.9963 0.6353 0.6480  6 Zn 2.56-2.84, 1 Ge 2.82
Ge1 0.0000 0.0000 0.5000  10 Zn 2.65-2.82



[3]
Crystalline Tb2ZnGe3 at its relaxed geometry, computed with GGA-PBE.

Calculated values
- SG = Pmm2, No. 25
- D(E_F) (states/eV/cell) = 1.50
- VASP energy (eV/cell) = -27.90
- excess energy over the best structure of this formula in the dataset (eV/atom) = 0.000
- calculated volume (A^3/atom) = 20.8
- total moment (μB/cell) = 0.0
- formation enthalpy at 0 K (eV/f.u.) = -3.509

Cell lengths 3.9933, 4.3210, 7.2466 Å; angles 90.00, 90.00, 90.00 degrees
Closest atoms and distances in Å follow each position.
Positions (direct):
Tb1 0.0000 0.0000 0.0000  8 Ge 3.11-3.15, 4 Zn 3.21
Tb2 0.0000 0.5000 0.4868  10 Ge 3.12-3.23, 2 Zn 3.14
Zn1 0.5000 0.5000 0.8214  3 Ge 2.42
Ge1 0.5000 0.0000 0.3286  3 Ge 2.47-2.50
Ge2 0.5000 0.0000 0.6699  2 Zn 2.42, 1 Ge 2.47
Ge3 0.5000 0.5000 0.1551  1 Zn 2.42, 2 Ge 2.50



[4]
Crystalline Tb2Zn3Ge4 at its relaxed geometry, computed with GGA-PBE.

Calculated values
- SG = Cmce, No. 64
- D(E_F) (states/eV/cell) = 8.31
- VASP energy (eV/cell) = -70.54
- calculated volume (A^3/atom) = 19.1
- total moment (μB/cell) = 0.0
- formation enthalpy at 0 K (eV/f.u.) = -3.719

Cell lengths 8.1281, 8.1281, 7.7921 Å; angles 90.00, 90.00, 138.08 degrees
Closest atoms and distances in Å follow each position.
Positions (direct):
Tb1 0.1158 0.8842 0.9168  8 Ge 3.07-3.15, 4 Zn 3.25-3.32
Tb2 0.3842 0.6158 0.4168  8 Ge 3.07-3.15, 4 Zn 3.25-3.32
Tb3 0.6158 0.3842 0.5832  8 Ge 3.07-3.15, 4 Zn 3.25-3.32
Tb4 0.8842 0.1158 0.0832  8 Ge 3.07-3.15, 4 Zn 3.25-3.32
Zn1 0.0000 0.0000 0.5000  4 Ge 2.53
Zn2 0.0370 0.4630 0.7500  5 Ge 2.52-2.77
Zn3 0.4630 0.0370 0.2500  5 Ge 2.52-2.77
Zn4 0.5000 0.5000 0.0000  4 Ge 2.53
Zn5 0.5370 0.9630 0.7500  5 Ge 2.52-2.77
Zn6 0.9630 0.5370 0.2500  5 Ge 2.52-2.77
Ge1 0.1886 0.8114 0.5489  5 Zn 2.61-2.89
Ge2 0.2033 0.2967 0.7500  3 Zn 2.52-2.53
Ge3 0.2967 0.2033 0.2500  3 Zn 2.52-2.53
Ge4 0.3114 0.6886 0.0489  5 Zn 2.61-2.89
Ge5 0.6886 0.3114 0.9511  5 Zn 2.61-2.89
Ge6 0.7033 0.7967 0.7500  3 Zn 2.52-2.53
Ge7 0.7967 0.7033 0.2500  3 Zn 2.52-2.53
Ge8 0.8114 0.1886 0.4511  5 Zn 2.61-2.89



[5]
Crystalline TbZn6Ge2 at its relaxed geometry, computed with GGA-PBE.

Calculated values
- SG = P4/mmm, No. 123
- D(E_F) (states/eV/cell) = 2.55
- VASP energy (eV/cell) = -23.07
- calculated volume (A^3/atom) = 17.2
- total moment (μB/cell) = 0.0
- formation enthalpy at 0 K (eV/f.u.) = -1.564

Cell lengths 4.0281, 4.0281, 9.5413 Å; angles 90.00, 90.00, 90.00 degrees
Closest atoms and distances in Å follow each position.
Positions (direct):
Tb1 0.0000 0.0000 0.0000  8 Ge 3.12
Zn1 0.0000 0.0000 0.5000  12 Zn 2.73-2.85
Zn2 0.0000 0.5000 0.3064  2 Ge 2.60, 8 Zn 2.73-2.85
Zn3 0.0000 0.5000 0.6936  2 Ge 2.60, 8 Zn 2.73-2.85
Zn4 0.5000 0.0000 0.3064  2 Ge 2.60, 8 Zn 2.73-2.85
Zn5 0.5000 0.0000 0.6936  2 Ge 2.60, 8 Zn 2.73-2.85
Zn6 0.5000 0.5000 0.5000  12 Zn 2.73-2.85
Ge1 0.5000 0.5000 0.1334  1 Ge 2.55, 4 Zn 2.60
Ge2 0.5000 0.5000 0.8666  1 Ge 2.55, 4 Zn 2.60



[6]
Crystalline TbZn3Ge3 at its relaxed geometry, computed with GGA-PBE.

Calculated values
- SG = Pm-3n, No. 223
- D(E_F) (states/eV/cell) = 5.24
- VASP energy (eV/cell) = -41.66
- calculated volume (A^3/atom) = 22.8
- total moment (μB/cell) = 0.0
- formation enthalpy at 0 K (eV/f.u.) = 1.472

Cell lengths 6.8307, 6.8307, 6.8307 Å; angles 90.00, 90.00, 90.00 degrees
Closest atoms and distances in Å follow each position.
Positions (direct):
Tb1 0.0000 0.0000 0.0000  12 Ge 3.82, 12 Zn 3.82
Tb2 0.5000 0.5000 0.5000  12 Ge 3.82, 12 Zn 3.82
Zn1 0.0000 0.2500 0.5000  4 Ge 2.42
Zn2 0.0000 0.7500 0.5000  4 Ge 2.42
Zn3 0.2500 0.5000 0.0000  4 Ge 2.42
Zn4 0.5000 0.0000 0.2500  4 Ge 2.42
Zn5 0.5000 0.0000 0.7500  4 Ge 2.42
Zn6 0.7500 0.5000 0.0000  4 Ge 2.42
Ge1 0.0000 0.5000 0.2500  4 Zn 2.42
Ge2 0.0000 0.5000 0.7500  4 Zn 2.42
Ge3 0.2500 0.0000 0.5000  4 Zn 2.42
Ge4 0.5000 0.2500 0.0000  4 Zn 2.42
Ge5 0.5000 0.7500 0.0000  4 Zn 2.42
Ge6 0.7500 0.0000 0.5000  4 Zn 2.42



[7]
Crystalline Tb2Zn3Ge at its relaxed geometry, computed with GGA-PBE.

Calculated values
- SG = Pmm2, No. 25
- D(E_F) (states/eV/cell) = 3.37
- VASP energy (eV/cell) = -20.73
- calculated volume (A^3/atom) = 20.4
- total moment (μB/cell) = 0.0
- formation enthalpy at 0 K (eV/f.u.) = -3.035

Cell lengths 3.6775, 4.3924, 7.5875 Å; angles 90.00, 90.00, 90.00 degrees
Closest atoms and distances in Å follow each position.
Positions (direct):
Tb1 0.0000 0.0000 0.0000  10 Zn 3.09-3.17, 2 Ge 3.12
Tb2 0.0000 0.5000 0.4857  4 Ge 3.09, 8 Zn 3.13-3.18
Zn1 0.5000 0.0000 0.6677  2 Zn 2.49, 1 Ge 2.55
Zn2 0.5000 0.5000 0.1514  1 Zn 2.50, 2 Ge 2.59
Zn3 0.5000 0.5000 0.8214  3 Zn 2.49-2.50
Ge1 0.5000 0.0000 0.3314  3 Zn 2.55-2.59



[8]
Crystalline Tb3Zn3Ge at its relaxed geometry, computed with GGA-PBE.

Calculated values
- SG = Imm2, No. 44
- D(E_F) (states/eV/cell) = 6.83
- VASP energy (eV/cell) = -25.44
- calculated volume (A^3/atom) = 22.7
- total moment (μB/cell) = 0.2
- formation enthalpy at 0 K (eV/f.u.) = -3.108

Cell lengths 9.8917, 9.8917, 9.8917 Å; angles 156.70, 155.43, 34.11 degrees
Closest atoms and distances in Å follow each position.
Positions (direct):
Tb1 0.0000 0.0000 0.0000  7 Zn 3.05-3.16
Tb2 0.3753 0.3753 0.0000  5 Zn 3.01-3.28, 2 Ge 3.03
Tb3 0.6965 0.1965 0.5000  4 Ge 3.10, 8 Zn 3.21-3.43
Zn1 0.1233 0.6233 0.5000  1 Ge 2.48, 2 Zn 2.53
Zn2 0.5489 0.5489 0.0000  2 Zn 2.53
Zn3 0.8328 0.8328 0.0000  2 Ge 2.57
Ge1 0.2545 0.7545 0.5000  3 Zn 2.48-2.57



[9]
Crystalline TbZr2Ge2 at its relaxed geometry, computed with GGA-PBE.

Calculated values
- SG = C2/c, No. 15
- D(E_F) (states/eV/cell) = 9.37
- VASP energy (eV/cell) = -65.96
- calculated volume (A^3/atom) = 24.3
- total moment (μB/cell) = 1.3
- formation enthalpy at 0 K (eV/f.u.) = -2.021

Cell lengths 7.1012, 7.1012, 5.7019 Å; angles 109.81, 109.81, 98.85 degrees
Closest atoms and distances in Å follow each position.
Positions (direct):
Tb1 0.1120 0.8880 0.7500  4 Ge 2.90-3.08
Tb2 0.8880 0.1120 0.2500  4 Ge 2.90-3.08
Zr1 0.2261 0.4313 0.0170  4 Ge 2.70-2.81, 1 Zr 2.88
Zr2 0.4313 0.2261 0.5170  4 Ge 2.70-2.81, 1 Zr 2.88
Zr3 0.5687 0.7739 0.4830  4 Ge 2.70-2.81, 1 Zr 2.88
Zr4 0.7739 0.5687 0.9830  4 Ge 2.70-2.81, 1 Zr 2.88
Ge1 0.1735 0.8265 0.2500  4 Zr 2.70-2.81, 2 Tb 2.93
Ge2 0.3809 0.6191 0.7500  4 Zr 2.71-2.79, 1 Tb 2.90
Ge3 0.6191 0.3809 0.2500  4 Zr 2.71-2.79, 1 Tb 2.90
Ge4 0.8265 0.1735 0.7500  4 Zr 2.70-2.81, 2 Tb 2.93



[10]
Crystalline TbZrGe at its relaxed geometry, computed with GGA-PBE.

Calculated values
- SG = I4mm, No. 107
- D(E_F) (states/eV/cell) = 3.62
- VASP energy (eV/cell) = -18.99
- calculated volume (A^3/atom) = 22.3
- total moment (μB/cell) = 0.0
- formation enthalpy at 0 K (eV/f.u.) = -1.192

Cell lengths 5.4932, 5.4932, 5.4932 Å; angles 140.33, 140.33, 57.35 degrees
Closest atoms and distances in Å follow each position.
Positions (direct):
Tb1 0.0000 0.0000 0.0000  1 Zr 2.89, 5 Ge 3.13-3.14
Zr1 0.6997 0.6997 0.0000  1 Tb 2.89, 4 Ge 2.90
Ge1 0.3256 0.3256 0.0000  4 Zr 2.90, 5 Tb 3.13-3.14



[11]
Crystalline Tb2Zr3Ge4 at its relaxed geometry, computed with GGA-PBE.

Calculated values
- SG = P2_1/c, No. 14
- D(E_F) (states/eV/cell) = 13.59
- VASP energy (eV/cell) = -122.91
- calculated volume (A^3/atom) = 21.2
- total moment (μB/cell) = 0.0
- formation enthalpy at 0 K (eV/f.u.) = -8.078

Cell lengths 7.4653, 7.4595, 7.2598 Å; angles 90.00, 109.39, 90.00 degrees
Closest atoms and distances in Å follow each position.
Positions (direct):
Tb1 0.1895 0.1726 0.0662  7 Ge 2.93-3.23
Tb2 0.1895 0.3274 0.5662  7 Ge 2.93-3.23
Tb3 0.8105 0.6726 0.4338  7 Ge 2.93-3.23
Tb4 0.8105 0.8274 0.9338  7 Ge 2.93-3.23
Zr1 0.2522 0.6757 0.2483  6 Ge 2.74-2.90
Zr2 0.2522 0.8243 0.7483  6 Ge 2.74-2.90
Zr3 0.5000 0.0000 0.5000  6 Ge 2.85-2.95
Zr4 0.5000 0.5000 0.0000  6 Ge 2.85-2.95
Zr5 0.7478 0.1757 0.2517  6 Ge 2.74-2.90
Zr6 0.7478 0.3243 0.7517  6 Ge 2.74-2.90
Ge1 0.0831 0.5349 0.8560  4 Zr 2.74-2.95, 1 Ge 2.81, 1 Tb 2.93
Ge2 0.0831 0.9651 0.3560  4 Zr 2.74-2.95, 1 Ge 2.81, 1 Tb 2.93
Ge3 0.4884 0.1318 0.8643  5 Zr 2.74-2.91, 1 Ge 2.75, 2 Tb 2.93-3.07
Ge4 0.4884 0.3682 0.3643  5 Zr 2.74-2.91, 1 Ge 2.75, 2 Tb 2.93-3.07
Ge5 0.5116 0.6318 0.6357  5 Zr 2.74-2.91, 1 Ge 2.75, 2 Tb 2.93-3.07
Ge6 0.5116 0.8682 0.1357  5 Zr 2.74-2.91, 1 Ge 2.75, 2 Tb 2.93-3.07
Ge7 0.9169 0.0349 0.6440  4 Zr 2.74-2.95, 1 Ge 2.81, 1 Tb 2.93
Ge8 0.9169 0.4651 0.1440  4 Zr 2.74-2.95, 1 Ge 2.81, 1 Tb 2.93



[12]
Crystalline Tb2ZrGe3 at its relaxed geometry, computed with GGA-PBE.

Calculated values
- SG = Immm, No. 71
- D(E_F) (states/eV/cell) = 4.45
- VASP energy (eV/cell) = -35.82
- calculated volume (A^3/atom) = 23.6
- total moment (μB/cell) = 0.0
- formation enthalpy at 0 K (eV/f.u.) = -4.156

Cell lengths 7.0155, 7.0155, 7.0155 Å; angles 146.27, 131.74, 60.17 degrees
Closest atoms and distances in Å follow each position.
Positions (direct):
Tb1 0.1701 0.1701 0.0000  6 Ge 2.87-2.95
Tb2 0.8299 0.8299 0.0000  6 Ge 2.87-2.95
Zr1 0.5000 0.5000 0.0000  6 Ge 2.77-2.87
Ge1 0.0000 0.5000 0.5000  2 Zr 2.87, 4 Tb 2.90
Ge2 0.3455 0.8455 0.5000  2 Zr 2.77, 4 Tb 2.87-2.95
Ge3 0.6545 0.1545 0.5000  2 Zr 2.77, 4 Tb 2.87-2.95